VASP calculation (GGA+U) on crystalline Tl3MoO at its relaxed geometry.

DFT total energy ... -0.2552 Ry per atom
Energy above the lowest structure with this stoichiometry ... 0.00 kcal/mol of atoms
M_tot ... 4.741 μB/f.u.

CIF file:
```
data_Tl3MoO
_chemical_formula_sum 'Tl3 Mo1 O1'
_cell_length_a 5.0731
_cell_length_b 5.0731
_cell_length_c 5.0731
_cell_angle_alpha 90.00
_cell_angle_beta 90.00
_cell_angle_gamma 90.00
_space_group_name_H-M_alt 'P 1'
_space_group_IT_number 1
loop_
_space_group_symop_operation_xyz
'x,y,z'
loop_
_atom_site_label
_atom_site_type_symbol
_atom_site_fract_x
_atom_site_fract_y
_atom_site_fract_z
_atom_site_occupancy
Tl1 Tl 0.0000 0.5000 0.0000 1
Tl2 Tl 0.0000 0.0000 0.5000 1
Tl3 Tl 0.5000 0.0000 0.0000 1
Mo1 Mo 0.5000 0.5000 0.5000 1
O1 O 0.0000 0.0000 0.0000 1
```